Record 1
Entry from Alexandria: a PBEsol-optimized structure of La3BPt (SCAN).

CIF file:
```
data_La3BPt
_chemical_formula_sum 'La3 B1 Pt1'
_symmetry_space_group_name_H-M 'P m -3 m'
_symmetry_Int_Tables_number 221
_symmetry_space_group_name_Hall '-P 4 2 3'
_cell_length_a 5.093
_cell_length_b 5.093
_cell_length_c 5.093
_cell_angle_alpha 90.00
_cell_angle_beta 90.00
_cell_angle_gamma 90.00
loop_
_atom_site_label
_atom_site_fract_x
_atom_site_fract_y
_atom_site_fract_z
La1 0.000 0.000 0.500
B1 0.000 0.000 0.000
Pt1 0.500 0.500 0.500
```

N(E_F), states/eV per cell: 5.791
E_tot, eV/atom: -41.51
Calculated formation energy, eV/atom: -0.1249

***

Record 2
Entry from Alexandria: a PBEsol-optimized structure of FeRe2Cl (SCAN).

CIF file:
```
data_FeRe2Cl
_chemical_formula_sum 'Fe4 Re8 Cl4'
_symmetry_space_group_name_H-M 'F m -3 m'
_symmetry_Int_Tables_number 225
_symmetry_space_group_name_Hall '-F 4 2 3'
_cell_length_a 5.925
_cell_length_b 5.925
_cell_length_c 5.925
_cell_angle_alpha 90.00
_cell_angle_beta 90.00
_cell_angle_gamma 90.00
loop_
_atom_site_label
_atom_site_fract_x
_atom_site_fract_y
_atom_site_fract_z
Fe1 0.000 0.000 0.000
Re1 0.250 0.250 0.250
Cl1 0.000 0.000 0.500
```

Offset from the most stable computed form, kJ per mole of atoms: 53.34
N(E_F), states/eV per cell: 11.081
E_tot, eV/atom: -40.94
Energy relative to the elements, uncorrected, eV/atom: 1.1353

***

Record 3
Entry from Alexandria: a PBEsol-optimized structure of ReP2Pt (SCAN).

CIF file:
```
data_ReP2Pt
_chemical_formula_sum 'Re2 P4 Pt2'
_symmetry_space_group_name_H-M 'C m m 2'
_symmetry_Int_Tables_number 35
_symmetry_space_group_name_Hall 'C 2 -2'
_cell_length_a 2.972
_cell_length_b 4.604
_cell_length_c 9.146
_cell_angle_alpha 90.00
_cell_angle_beta 90.00
_cell_angle_gamma 90.00
loop_
_atom_site_label
_atom_site_fract_x
_atom_site_fract_y
_atom_site_fract_z
Re1 0.000 0.000 0.000
P1 0.000 0.000 0.477
P2 0.000 0.500 0.803
Pt1 0.000 0.500 0.267
```

Offset from the most stable computed form, kJ per mole of atoms: 0.00
N(E_F), states/eV per cell: 4.552
E_tot, eV/atom: -40.12
Calculated formation energy, eV/atom: 0.4024

***

Record 4
Entry from Alexandria: a PBEsol-optimized structure of LaWCl (SCAN).

CIF file:
```
data_LaWCl
_chemical_formula_sum 'La4 W4 Cl4'
_symmetry_space_group_name_H-M 'F -4 3 m'
_symmetry_Int_Tables_number 216
_symmetry_space_group_name_Hall 'F -4 2 3'
_cell_length_a 7.025
_cell_length_b 7.025
_cell_length_c 7.025
_cell_angle_alpha 90.00
_cell_angle_beta 90.00
_cell_angle_gamma 90.00
loop_
_atom_site_label
_atom_site_fract_x
_atom_site_fract_y
_atom_site_fract_z
La1 0.000 0.000 0.000
W1 0.250 0.250 0.750
Cl1 0.250 0.250 0.250
```

N(E_F), states/eV per cell: 5.336
E_tot, eV/atom: -39.21
Energy relative to the elements, uncorrected, eV/atom: 1.0519

***

Record 5
Entry from Alexandria: a PBEsol-optimized structure of ZrAlBr2 (SCAN).

CIF file:
```
data_ZrAlBr2
_chemical_formula_sum 'Zr1 Al1 Br2'
_symmetry_space_group_name_H-M 'P m m m'
_symmetry_Int_Tables_number 47
_symmetry_space_group_name_Hall '-P 2 2'
_cell_length_a 3.264
_cell_length_b 4.588
_cell_length_c 5.672
_cell_angle_alpha 90.00
_cell_angle_beta 90.00
_cell_angle_gamma 90.00
loop_
_atom_site_label
_atom_site_fract_x
_atom_site_fract_y
_atom_site_fract_z
Zr1 0.000 0.000 0.000
Al1 0.500 0.000 0.500
Br1 0.000 0.500 0.500
Br2 0.500 0.500 0.000
```

Offset from the most stable computed form, kJ per mole of atoms: 31.46
N(E_F), states/eV per cell: 1.921
E_tot, eV/atom: -19.62
Energy relative to the elements, uncorrected, eV/atom: -0.2772

***

Record 6
Entry from Alexandria: a PBEsol-optimized structure of LiCa2Br (SCAN).

CIF file:
```
data_LiCa2Br
_chemical_formula_sum 'Li1 Ca2 Br1'
_symmetry_space_group_name_H-M 'P 4 m m'
_symmetry_Int_Tables_number 99
_symmetry_space_group_name_Hall 'P 4 -2'
_cell_length_a 3.620
_cell_length_b 3.620
_cell_length_c 9.435
_cell_angle_alpha 90.00
_cell_angle_beta 90.00
_cell_angle_gamma 90.00
loop_
_atom_site_label
_atom_site_fract_x
_atom_site_fract_y
_atom_site_fract_z
Li1 0.000 0.000 0.000
Ca1 0.000 0.000 0.421
Ca2 0.500 0.500 0.734
Br1 0.500 0.500 0.231
```

Offset from the most stable computed form, kJ per mole of atoms: 0.00
N(E_F), states/eV per cell: 1.879
E_tot, eV/atom: -10.94
Energy relative to the elements, uncorrected, eV/atom: -0.6473